A relaxed La3Co2 crystal. Source: the Alexandria database, functional PBEsol.

Calculated values
Space group: R-3m, No. 166
Electronic total energy in eV/cell: -31.487
DFT formation energy in meV per atom: 5

Lattice parameters (Å, degrees): 9.842 9.842 9.842 23.10 23.10 23.10
Sites, in units of the cell vectors:
La1 0.000 0.000 0.000
La2 0.226 0.226 0.226
La3 0.774 0.774 0.774
Co1 0.392 0.392 0.392
Co2 0.608 0.608 0.608

A relaxed La3Co crystal. Source: the Alexandria database, functional PBEsol.

Calculated values
Space group: Immm, No. 71
Electronic total energy in eV/cell: -23.754
DFT formation energy in meV per atom: 5

Lattice parameters (Å, degrees): 6.247 6.247 6.247 146.13 124.24 66.86
Sites, in units of the cell vectors:
La1 0.000 0.000 0.000
La2 0.318 0.818 0.500
La3 0.682 0.182 0.500
Co1 0.500 0.500 0.000

A relaxed LaCo3 crystal. Source: the Alexandria database, functional PBEsol.

Calculated values
Space group: P2/m, No. 10
Electronic total energy in eV/cell: -27.444
DFT formation energy in meV per atom: 278

Lattice parameters (Å, degrees): 4.089 3.889 4.460 90.00 105.24 90.00
Sites, in units of the cell vectors:
La1 0.000 0.000 0.000
Co1 0.270 0.500 0.612
Co2 0.500 0.000 0.500
Co3 0.730 0.500 0.388

A relaxed La2Co crystal. Source: the Alexandria database, functional PBEsol.

Calculated values
Space group: I4/mmm, No. 139
Electronic total energy in eV/cell: -18.366
DFT formation energy in meV per atom: 21

Lattice parameters (Å, degrees): 7.048 7.048 7.048 151.65 151.65 40.52
Sites, in units of the cell vectors:
La1 0.121 0.121 0.000
La2 0.879 0.879 0.000
Co1 0.500 0.500 0.000

A relaxed LaCo3 crystal. Source: the Alexandria database, functional PBEsol.

Calculated values
Space group: Imm2, No. 44
Electronic total energy in eV/cell: -26.957
DFT formation energy in meV per atom: 400

Lattice parameters (Å, degrees): 5.083 5.083 5.083 145.92 64.71 126.80
Sites, in units of the cell vectors:
La1 0.000 0.000 0.000
Co1 0.377 0.601 0.776
Co2 0.480 0.980 0.500
Co3 0.825 0.601 0.224

A relaxed LaCo5 crystal. Source: the Alexandria database, functional PBEsol.

Calculated values
Space group: Cccm, No. 66
Electronic total energy in eV/cell: -87.968
DFT formation energy in meV per atom: 8

Lattice parameters (Å, degrees): 4.928 4.928 7.787 90.00 90.00 119.51
Sites, in units of the cell vectors:
La1 0.000 0.000 0.000
La2 0.000 0.000 0.500
Co1 0.000 0.500 0.262
Co2 0.000 0.500 0.738
Co3 0.303 0.627 0.000
Co4 0.373 0.697 0.500
Co5 0.500 0.000 0.238
Co6 0.500 0.000 0.762
Co7 0.500 0.500 0.250
Co8 0.500 0.500 0.750
Co9 0.627 0.303 0.500
Co10 0.697 0.373 0.000

A relaxed La2Co crystal. Source: the Alexandria database, functional PBEsol.

Calculated values
Space group: Pa-3, No. 205
Electronic total energy in eV/cell: -74.330
DFT formation energy in meV per atom: -51

Lattice parameters (Å, degrees): 6.809 6.809 6.809 90.00 90.00 90.00
Sites, in units of the cell vectors:
La1 0.175 0.175 0.175
La2 0.175 0.325 0.675
La3 0.325 0.675 0.175
La4 0.325 0.825 0.675
La5 0.675 0.175 0.325
La6 0.675 0.325 0.825
La7 0.825 0.675 0.325
La8 0.825 0.825 0.825
Co1 0.000 0.000 0.500
Co2 0.000 0.500 0.000
Co3 0.500 0.000 0.000
Co4 0.500 0.500 0.500

A relaxed LaCo13 crystal. Source: the Alexandria database, functional PBEsol.

Calculated values
Space group: Fm-3c, No. 226
Electronic total energy in eV/cell: -212.273
DFT formation energy in meV per atom: -15

Lattice parameters (Å, degrees): 7.834 7.834 7.834 60.00 60.00 60.00
Sites, in units of the cell vectors:
La1 0.250 0.250 0.250
La2 0.750 0.750 0.750
Co1 0.000 0.000 0.000
Co2 0.059 0.295 0.705
Co3 0.059 0.705 0.941
Co4 0.059 0.941 0.295
Co5 0.205 0.441 0.795
Co6 0.205 0.559 0.441
Co7 0.205 0.795 0.559
Co8 0.295 0.059 0.941
Co9 0.295 0.705 0.059
Co10 0.295 0.941 0.705
Co11 0.441 0.205 0.559
Co12 0.441 0.559 0.795
Co13 0.441 0.795 0.205
Co14 0.500 0.500 0.500
Co15 0.559 0.205 0.795
Co16 0.559 0.441 0.205
Co17 0.559 0.795 0.441
Co18 0.705 0.059 0.295
Co19 0.705 0.295 0.941
Co20 0.705 0.941 0.059
Co21 0.795 0.205 0.441
Co22 0.795 0.441 0.559
Co23 0.795 0.559 0.205
Co24 0.941 0.059 0.705
Co25 0.941 0.295 0.059
Co26 0.941 0.705 0.295

A relaxed LaCo3 crystal. Source: the Alexandria database, functional PBEsol.

Calculated values
Space group: I4/mmm, No. 139
Electronic total energy in eV/cell: -26.995
DFT formation energy in meV per atom: 391

Lattice parameters (Å, degrees): 4.581 4.581 4.581 129.15 129.15 74.77
Sites, in units of the cell vectors:
La1 0.000 0.000 0.000
Co1 0.250 0.750 0.500
Co2 0.500 0.500 0.000
Co3 0.750 0.250 0.500

A relaxed La2Co crystal. Source: the Alexandria database, functional PBEsol.

Calculated values
Space group: Fm-3m, No. 225
Electronic total energy in eV/cell: -18.347
DFT formation energy in meV per atom: 28

Lattice parameters (Å, degrees): 4.782 4.782 4.782 60.00 60.00 60.00
Sites, in units of the cell vectors:
La1 0.250 0.250 0.250
La2 0.750 0.750 0.750
Co1 0.000 0.000 0.000

A relaxed La2Co crystal. Source: the Alexandria database, functional PBEsol.

Calculated values
Space group: P-3m1, No. 164
Electronic total energy in eV/cell: -18.595
DFT formation energy in meV per atom: -55

Lattice parameters (Å, degrees): 3.968 3.968 6.349 90.00 90.00 120.00
Sites, in units of the cell vectors:
La1 0.333 0.667 0.231
La2 0.667 0.333 0.769
Co1 0.000 0.000 0.000

A relaxed La2Co crystal. Source: the Alexandria database, functional PBEsol.

Calculated values
Space group: I4_1/amd, No. 141
Electronic total energy in eV/cell: -36.598
DFT formation energy in meV per atom: 44

Lattice parameters (Å, degrees): 13.862 13.862 13.862 165.90 165.90 19.99
Sites, in units of the cell vectors:
La1 0.315 0.565 0.750
La2 0.435 0.685 0.750
La3 0.565 0.315 0.250
La4 0.685 0.435 0.250
Co1 0.125 0.875 0.250
Co2 0.875 0.125 0.750